# 1
Computed, not measured: a relaxed structure of ErCdSi at the PBE level of DFT.

Structure (POSCAR):
```
ErCdSi
1.0
-1.398 2.728 -2.216
0.255 -2.544 -3.294
-7.788 -1.436 3.145
Er Cd Si
2 2 2
Cartesian
-6.521 -2.817 -0.969
-2.410 1.565 -1.396
-5.432 0.496 -0.805
-3.499 -1.749 -1.560
-0.925 -0.839 -2.063
-8.006 -0.413 -0.301
```

- formation energy (no corrections) (eV/atom) = -0.47

# 2
Computed, not measured: a relaxed structure of Th4Te3As at the PBE level of DFT.

Structure (POSCAR):
```
Th4Te3As
1.0
4.217 0.000 0.000
2.109 3.652 0.000
2.109 1.217 15.760
Th Te As
4 3 1
Cartesian
4.217 2.435 1.672
6.326 3.652 5.838
4.217 2.435 14.089
2.109 1.217 9.923
6.326 3.652 11.984
4.217 2.435 7.880
2.109 1.217 3.776
0.000 0.000 0.000
```

- formation energy (no corrections) (eV/atom) = -1.13

# 3
Computed, not measured: a relaxed structure of MnBeRh2 at the PBE level of DFT.

Structure (POSCAR):
```
MnBeRh2
1.0
-1.000 4.759 -1.532
-4.265 0.003 2.793
-0.080 4.172 4.527
Be Mn Rh
2 2 4
Cartesian
-2.633 2.381 0.630
-3.489 3.278 3.975
0.000 0.000 0.000
-1.857 5.656 1.812
-1.158 3.920 0.554
-2.831 1.737 2.654
-2.122 4.915 3.925
-4.581 7.295 4.441
```

- ΔH_f (0 K) (kJ per mole of atoms) = 73.55

# 4
Computed, not measured: a relaxed structure of CoAsOs2 at the PBE level of DFT.

Structure (POSCAR):
```
CoAsOs2
1.0
2.751 -0.003 0.000
-1.354 2.395 0.000
0.000 0.000 8.764
As Co Os
1 1 2
Cartesian
0.000 0.000 4.508
0.699 1.196 6.548
0.000 0.000 8.687
0.699 1.196 2.168
```

- ΔH_f (0 K) (kJ per mole of atoms) = 61.09

| no. | M_tot (μB/cell) |
| --- | --- |
| 1 | 0.0 |
| 2 | 0.0 |
| 3 | 0.0 |
| 4 | 2.0 |